# 1
The following is a PBE-GGA calculation of a geometry-optimized GeTeWN2 structure, from the Alexandria database.

abc: 3.996 3.996 5.633
angles: 90.00 90.00 90.00
Fractional positions:
Ge (0.000, 0.000, 0.000)
Te (0.500, 0.500, 0.000)
W (0.500, 0.500, 0.500)
N (0.000, 0.500, 0.500)
N (0.500, 0.000, 0.500)

Energy relative to the elements, uncorrected: 0.5296 eV/atom
Energy above the most stable polymorph in this dataset: 0.0000 eV/atom



# 2
The following is a PBE-GGA calculation of a geometry-optimized SmThGaSe structure, from the Alexandria database.

abc: 4.251 4.251 5.989
angles: 90.00 90.00 90.00
Fractional positions:
Sm (0.000, 0.000, 0.000)
Th (0.500, 0.500, 0.500)
Ga (0.000, 0.000, 0.500)
Se (0.500, 0.500, 0.000)

Energy relative to the elements, uncorrected: -1.1431 eV/atom



# 3
The following is a PBE-GGA calculation of a geometry-optimized ScHgPb structure, from the Alexandria database.

abc: 6.434 6.434 3.549
angles: 105.70 105.70 32.03
Fractional positions:
Sc (0.000, 0.000, 0.000)
Hg (0.639, 0.639, 0.638)
Pb (0.322, 0.322, 0.323)

Formation energy: -17.9 kJ/mol of atoms
Energy above the most stable polymorph in this dataset: 0.0583 eV/atom



# 4
The following is a PBE-GGA calculation of a geometry-optimized Sm2ErBe structure, from the Alexandria database.

abc: 11.703 11.703 11.703
angles: 16.94 16.94 16.94
Fractional positions:
Sm (0.085, 0.085, 0.085)
Sm (0.915, 0.915, 0.915)
Er (0.500, 0.500, 0.500)
Be (0.000, 0.000, 0.000)

Formation energy: 65.5 kJ/mol of atoms
Energy above the most stable polymorph in this dataset: 0.5722 eV/atom



# 5
The following is a PBE-GGA calculation of a geometry-optimized MgTa2PbAu structure, from the Alexandria database.

abc: 5.103 5.103 5.767
angles: 90.00 90.00 90.00
Fractional positions:
Mg (0.000, 0.000, 0.000)
Ta (0.000, 0.500, 0.500)
Ta (0.500, 0.000, 0.500)
Pb (0.500, 0.500, 0.000)
Au (0.500, 0.500, 0.500)

Formation energy: 144.3 kJ/mol of atoms



# 6
The following is a PBE-GGA calculation of a geometry-optimized NaNdBi4O8 structure, from the Alexandria database.

abc: 7.223 7.223 7.223
angles: 58.87 58.87 58.87
Fractional positions:
Na (0.000, 0.000, 0.000)
Nd (0.378, 0.378, 0.378)
Bi (0.377, 0.377, 0.888)
Bi (0.377, 0.888, 0.377)
Bi (0.754, 0.754, 0.754)
Bi (0.888, 0.377, 0.377)
O (0.140, 0.140, 0.576)
O (0.140, 0.576, 0.140)
O (0.147, 0.147, 0.147)
O (0.147, 0.612, 0.612)
O (0.576, 0.140, 0.140)
O (0.612, 0.147, 0.612)
O (0.612, 0.612, 0.147)
O (0.630, 0.630, 0.630)

Energy relative to the elements, uncorrected: -1.5805 eV/atom